Entry 1:
# LaTb4Sm2Dy (PBE-GGA, optimized geometry)
# final energy	-4.671	eV/atom
# E_form	0.02	eV/atom
data_LaTb4Sm2Dy
_space_group_name_H-M_alt 'P 1 2 1'
_space_group_IT_number 3
_cell_length_a 7.214
_cell_length_b 7.205
_cell_length_c 10.139
_cell_angle_alpha 90.00
_cell_angle_beta 90.05
_cell_angle_gamma 90.00
loop_
_space_group_symop_operation_xyz
'x,y,z'
'-x,y,-z'
loop_
_atom_site_label
_atom_site_type_symbol
_atom_site_fract_x
_atom_site_fract_y
_atom_site_fract_z
La1 La 0.000 0.000 0.000
La2 La 0.500 0.001 0.000
Tb1 Tb 0.251 0.252 0.252
Tb2 Tb 0.251 0.252 0.748
Tb3 Tb 0.251 0.749 0.252
Tb4 Tb 0.251 0.749 0.748
Sm1 Sm 0.000 0.001 0.500
Sm2 Sm 0.000 0.500 0.000
Sm3 Sm 0.000 0.501 0.500
Sm4 Sm 0.500 0.500 0.500
Dy1 Dy 0.500 0.000 0.500
Dy2 Dy 0.500 0.501 0.000

Entry 2:
# La6TbSmDy2 (PBE-GGA, optimized geometry)
# final energy	-4.620	eV/atom
# E_form	0.19	eV/atom
data_La6TbSmDy2
_space_group_name_H-M_alt 'C 1 2/m 1'
_space_group_IT_number 12
_cell_length_a 11.420
_cell_length_b 7.131
_cell_length_c 9.040
_cell_angle_alpha 90.00
_cell_angle_beta 104.08
_cell_angle_gamma 90.00
loop_
_space_group_symop_operation_xyz
'x,y,z'
'-x,-y,-z'
'-x,y,-z'
'x,-y,z'
'x+1/2,y+1/2,z'
'-x+1/2,-y+1/2,-z'
'-x+1/2,y+1/2,-z'
'x+1/2,-y+1/2,z'
loop_
_atom_site_label
_atom_site_type_symbol
_atom_site_fract_x
_atom_site_fract_y
_atom_site_fract_z
La1 La 0.135 0.000 0.431
La2 La 0.184 0.278 0.805
Tb1 Tb 0.000 0.000 0.000
Sm1 Sm 0.000 0.500 0.500
Dy1 Dy 0.086 0.500 0.164

| no. | size of the total moment (μB/f.u.) |
| --- | --- |
| 1 | 0.000 |
| 2 | 0.000 |